1.
A geometry-optimized HfCd2Au2 structure, computed with GGA-PBE.

abc: 7.261 7.261 4.010
angles: 90.00 90.00 90.00
Positions (direct):
1 Au 0.637 0.137 0.000
2 Hf 0.000 0.000 0.000
3 Cd 0.833 0.333 0.500
4 Au 0.363 0.863 0.000
5 Cd 0.333 0.167 0.500
6 Cd 0.667 0.833 0.500
7 Cd 0.167 0.667 0.500
8 Hf 0.500 0.500 0.000
9 Au 0.137 0.363 0.000
10 Au 0.863 0.637 0.000

Summary:
V in Å³ per atom: 21.14
Crystal system: tetragonal
Space-group type: P4/mbm
Polymorph energy (0 for the lowest one) in eV per atom: 0.000



2.
A geometry-optimized HfCdAu2 structure, computed with GGA-PBE.

abc: 3.487 3.487 8.416
angles: 78.04 78.04 60.00
Positions (direct):
1 Au 0.755 0.755 0.736
2 Cd 0.000 0.000 0.000
3 Hf 0.500 0.500 0.500
4 Au 0.245 0.245 0.264

Summary:
V in Å³ per atom: 21.52
Crystal system: trigonal
Space-group type: R-3m



3.
A geometry-optimized HfCdAu3 structure, computed with GGA-PBE.

abc: 5.252 5.252 5.252
angles: 90.00 90.00 90.00
Positions (direct):
1 Cd 0.500 0.500 0.500
2 Hf 0.000 0.000 0.000
3 Au 0.500 0.000 0.000
4 Au 0.000 0.500 0.000
5 Au 0.000 0.000 0.500

Summary:
V in Å³ per atom: 28.97
Crystal system: cubic
Space-group type: Pm-3m
Polymorph energy (0 for the lowest one) in eV per atom: 0.000



4.
A geometry-optimized HfCdAu2 structure, computed with GGA-PBE.

abc: 7.537 7.537 6.166
angles: 52.33 52.33 90.00
Positions (direct):
1 Cd 0.500 0.500 0.000
2 Hf 0.000 0.000 0.000
3 Au 0.375 0.363 0.750
4 Au 0.875 0.887 0.750
5 Au 0.637 0.125 0.250
6 Au 0.113 0.625 0.250
7 Hf 0.750 0.250 0.500
8 Cd 0.250 0.750 0.500

Summary:
V in Å³ per atom: 22.02
Crystal system: tetragonal
Space-group type: I-42d



5.
A geometry-optimized HfCd3Au structure, computed with GGA-PBE.

abc: 5.605 5.605 5.605
angles: 90.00 90.00 90.00
Site moments in Bohr magnetons follow the coordinates.
Positions (direct):
1 Cd 0.000 0.000 0.500  0.00
2 Hf 0.000 0.000 0.000  0.37
3 Cd 0.000 0.500 0.000  0.03
4 Au 0.500 0.500 0.500  -0.01
5 Cd 0.500 0.000 0.000  0.03

Summary:
V in Å³ per atom: 35.22
Crystal system: cubic
Space-group type: Pm-3m
Polymorph energy (0 for the lowest one) in eV per atom: 0.421



6.
A geometry-optimized Hf2Cd2Au structure, computed with GGA-PBE.

abc: 7.140 7.140 4.578
angles: 90.00 90.00 90.00
Positions (direct):
1 Hf 0.149 0.351 0.000
2 Cd 0.348 0.152 0.500
3 Hf 0.351 0.851 0.000
4 Cd 0.848 0.348 0.500
5 Au 0.500 0.500 0.000
6 Hf 0.851 0.649 0.000
7 Cd 0.652 0.848 0.500
8 Hf 0.649 0.149 0.000
9 Cd 0.152 0.652 0.500
10 Au 0.000 0.000 0.000

Summary:
V in Å³ per atom: 23.34
Crystal system: tetragonal
Space-group type: P4/mbm
Polymorph energy (0 for the lowest one) in eV per atom: 0.126



| no. | density of states at the Fermi level (states/eV/cell) | energy relative to the elements (meV/atom) |
| --- | --- | --- |
| 1 | 5.3 | -92 |
| 2 | 2.6 | -256 |
| 3 | 1.9 | 498 |
| 4 | 7.1 | 16 |
| 5 | 5.8 | 1084 |
| 6 | 10.8 | 203 |